1.
# Te3Pb

An optimized crystal structure of Te3Pb (GGA-PBE, the Alexandria database).

Computed properties:
ΔE_f (raw): -0.06 eV per atom

Cell lengths 5.184, 6.409, 8.676 Å; angles 90.00, 90.00, 90.00 degrees
Space group Pmmn (No. 59, origin choice 2)
Unique sites:
1 Te 0.250 0.002 0.077
2 Te 0.250 0.750 0.580
3 Pb 0.250 0.250 0.621


2.
# SrNiHgPb2

An optimized crystal structure of SrNiHgPb2 (GGA-PBE, the Alexandria database).

Computed properties:
energy above the most stable polymorph in this dataset: 0.0 kJ/mol of formula units
calculated formation energy: -0.13 eV per atom

Cell lengths 5.207, 5.207, 5.172 Å; angles 90.00, 90.00, 90.00 degrees
Space group P4/mmm (No. 123)
Unique sites:
1 Sr 0.000 0.000 0.000
2 Ni 0.500 0.500 0.500
3 Hg 0.500 0.500 0.000
4 Pb 0.000 0.500 0.500


3.
# PtW2

An optimized crystal structure of PtW2 (GGA-PBE, the Alexandria database).

Computed properties:
energy above the most stable polymorph in this dataset: 47.6 kJ/mol of formula units
calculated formation energy: 0.09 eV per atom

Cell lengths 2.7909, 2.7909, 7.1122 Å; angles 90.00, 90.00, 120.00 degrees
Space group P-3m1 (No. 164)
Unique sites:
1 Pt 0.0000 0.0000 0.0000
2 W 0.3333 0.6667 0.6731


4.
# AcPPdPt

An optimized crystal structure of AcPPdPt (GGA-PBE, the Alexandria database).

Computed properties:
calculated formation energy: -1.07 eV per atom

Cell lengths 4.332, 4.374, 9.376 Å; angles 90.00, 90.00, 90.00 degrees
Space group Imm2 (No. 44)
Unique sites:
1 Ac 0.000 0.000 0.000
2 P 0.000 0.500 0.245
3 Pd 0.000 0.000 0.346
4 Pt 0.000 0.000 0.651


5.
# Cr3Mo2

An optimized crystal structure of Cr3Mo2 (GGA-PBE, the Alexandria database).

Computed properties:
energy above the most stable polymorph in this dataset: 3.8 kJ/mol of formula units
calculated formation energy: 0.37 eV per atom

Cell lengths 6.445, 9.685, 4.468 Å; angles 90.00, 90.00, 90.00 degrees
Space group Ibam (No. 72)
Unique sites:
1 Cr 0.000 0.000 0.250
2 Cr 0.147 0.440 0.000
3 Mo 0.129 0.262 0.500


6.
# MnZnAs4

An optimized crystal structure of MnZnAs4 (GGA-PBE, the Alexandria database).

Computed properties:
calculated formation energy: 0.51 eV per atom

Cell lengths 7.823, 7.823, 7.823 Å; angles 90.00, 90.00, 90.00 degrees
Space group F-43m (No. 216)
Unique sites:
1 Mn 0.000 0.000 0.000
2 Zn 0.250 0.250 0.750
3 As 0.125 0.125 0.375


7.
# FeNi6Ge

An optimized crystal structure of FeNi6Ge (GGA-PBE, the Alexandria database).

Computed properties:
energy above the most stable polymorph in this dataset: 211.9 kJ/mol of formula units
calculated formation energy: 0.10 eV per atom

Cell lengths 6.880, 4.798, 6.458 Å; angles 90.00, 107.76, 90.00 degrees
Space group C2/m (No. 12)
Unique sites:
1 Fe 0.000 0.000 0.000
2 Ni 0.138 0.500 0.932
3 Ni 0.201 0.261 0.299
4 Ge 0.000 0.500 0.500


8.
# NdDyF6

An optimized crystal structure of NdDyF6 (GGA-PBE, the Alexandria database).

Computed properties:
ΔE_f (raw): -4.07 eV per atom

Cell lengths 5.072, 7.372, 6.097 Å; angles 90.00, 98.50, 90.00 degrees
Space group C2 (No. 5)
Unique sites:
1 Nd 0.000 0.000 0.000
2 Dy 0.000 0.684 0.500
3 F 0.215 0.613 0.224
4 F 0.221 0.943 0.375
5 F 0.243 0.260 0.172


9.
# Li4Cu3Pt

An optimized crystal structure of Li4Cu3Pt (GGA-PBE, the Alexandria database).

Computed properties:
energy above the most stable polymorph in this dataset: 0.0 kJ/mol of formula units
calculated formation energy: -0.19 eV per atom

Cell lengths 5.246, 5.306, 7.506 Å; angles 90.00, 90.00, 90.00 degrees
Space group Pmna (No. 53)
Unique sites:
1 Li 0.000 0.000 0.000
2 Li 0.000 0.500 0.000
3 Li 0.250 0.239 0.250
4 Cu 0.000 0.500 0.500
5 Cu 0.250 0.260 0.750
6 Pt 0.000 0.000 0.500


10.
# ReAg3Pd12

An optimized crystal structure of ReAg3Pd12 (GGA-PBE, the Alexandria database).

Computed properties:
calculated formation energy: 0.02 eV per atom

Cell lengths 3.973, 3.973, 15.935 Å; angles 90.00, 90.00, 90.00 degrees
Space group P4/mmm (No. 123)
Unique sites:
1 Re 0.000 0.000 0.000
2 Ag 0.000 0.000 0.248
3 Ag 0.000 0.000 0.500
4 Pd 0.000 0.500 0.117
5 Pd 0.000 0.500 0.374
6 Pd 0.500 0.500 0.000
7 Pd 0.500 0.500 0.247
8 Pd 0.500 0.500 0.500


11.
# CsAsO2

An optimized crystal structure of CsAsO2 (GGA-PBE, the Alexandria database).

Computed properties:
ΔE_f (raw): -1.11 eV per atom

Cell lengths 6.334, 6.334, 8.871 Å; angles 90.00, 90.00, 90.00 degrees
Space group I-42d (No. 122)
Unique sites:
1 Cs 0.000 0.000 0.000
2 As 0.000 0.000 0.500
3 O 0.093 0.250 0.625


12.
# Rb2PbI4

An optimized crystal structure of Rb2PbI4 (GGA-PBE, the Alexandria database).

Computed properties:
ΔE_f (raw): -1.14 eV per atom
energy above the most stable polymorph in this dataset: 0.0 kJ/mol of formula units

Cell lengths 9.232, 14.928, 5.032 Å; angles 90.00, 90.00, 90.00 degrees
Space group Pbam (No. 55)
Unique sites:
1 Rb 0.089 0.180 0.000
2 Pb 0.000 0.500 0.500
3 I 0.127 0.702 0.500
4 I 0.223 0.451 0.000


13.
# CsRbAg4

An optimized crystal structure of CsRbAg4 (GGA-PBE, the Alexandria database).

Computed properties:
calculated formation energy: 0.14 eV per atom

Cell lengths 8.783, 8.783, 8.783 Å; angles 90.00, 90.00, 90.00 degrees
Space group F-43m (No. 216)
Unique sites:
1 Cs 0.000 0.000 0.000
2 Rb 0.250 0.250 0.750
3 Ag 0.124 0.124 0.376


14.
# HfSc2Tl

An optimized crystal structure of HfSc2Tl (GGA-PBE, the Alexandria database).

Computed properties:
energy above the most stable polymorph in this dataset: 0.0 kJ/mol of formula units
calculated formation energy: -0.14 eV per atom

Cell lengths 3.301, 3.301, 8.534 Å; angles 90.00, 90.00, 90.00 degrees
Space group P4/mmm (No. 123)
Unique sites:
1 Hf 0.000 0.000 0.000
2 Sc 0.500 0.500 0.249
3 Tl 0.000 0.000 0.500


15.
# KErCdCl6

An optimized crystal structure of KErCdCl6 (GGA-PBE, the Alexandria database).

Computed properties:
ΔE_f (raw): -1.84 eV per atom

Cell lengths 6.8988, 6.8988, 13.8555 Å; angles 90.00, 90.00, 120.00 degrees
Space group P-31c (No. 163)
Unique sites:
1 K 0.0000 0.0000 0.0000
2 Er 0.3333 0.6667 0.2500
3 Cd 0.3333 0.6667 0.7500
4 Cl 0.0042 0.3736 0.1408


16.
# Mg2ZrFe

An optimized crystal structure of Mg2ZrFe (GGA-PBE, the Alexandria database).

Computed properties:
calculated formation energy: 0.16 eV per atom

Cell lengths 3.936, 3.936, 4.765 Å; angles 90.00, 90.00, 90.00 degrees
Space group P4/mmm (No. 123)
Unique sites:
1 Mg 0.000 0.500 0.000
2 Zr 0.000 0.000 0.500
3 Fe 0.500 0.500 0.500


17.
# Li2PmNdSe4

An optimized crystal structure of Li2PmNdSe4 (GGA-PBE, the Alexandria database).

Computed properties:
ΔE_f (raw): -1.67 eV per atom

Cell lengths 6.957, 4.194, 7.261 Å; angles 90.00, 110.29, 90.00 degrees
Space group P2/m (No. 10)
Unique sites:
1 Li 0.000 0.000 0.000
2 Li 0.000 0.500 0.500
3 Pm 0.500 0.000 0.500
4 Nd 0.500 0.500 0.000
5 Se 0.240 0.000 0.746
6 Se 0.241 0.500 0.249


18.
# RhPbSe

An optimized crystal structure of RhPbSe (GGA-PBE, the Alexandria database).

Computed properties:
ΔE_f (raw): -0.14 eV per atom
energy above the most stable polymorph in this dataset: 41.3 kJ/mol of formula units

Cell lengths 12.741, 3.283, 3.283 Å; angles 90.00, 104.47, 90.00 degrees
Space group Cm (No. 8)
Unique sites:
1 Rh 0.000 0.000 0.000
2 Pb 0.326 0.000 0.331
3 Se 0.086 0.500 0.585


19.
# Ta3RhAu

An optimized crystal structure of Ta3RhAu (GGA-PBE, the Alexandria database).

Computed properties:
energy above the most stable polymorph in this dataset: 0.0 kJ/mol of formula units
calculated formation energy: 1.05 eV per atom

Cell lengths 4.776, 4.776, 4.776 Å; angles 90.00, 90.00, 90.00 degrees
Space group Pm-3m (No. 221)
Unique sites:
1 Ta 0.000 0.000 0.500
2 Rh 0.000 0.000 0.000
3 Au 0.500 0.500 0.500


20.
# Ca2AcErAu4

An optimized crystal structure of Ca2AcErAu4 (GGA-PBE, the Alexandria database).

Computed properties:
calculated formation energy: -0.80 eV per atom

Cell lengths 5.1532, 5.1532, 26.3376 Å; angles 90.00, 90.00, 120.00 degrees
Space group R-3m (No. 166, hexagonal axes)
Unique sites:
1 Ca 0.0000 0.0000 0.2450
2 Ac 0.0000 0.0000 0.0000
3 Er 0.0000 0.0000 0.5000
4 Au 0.0000 0.0000 0.1284
5 Au 0.0000 0.0000 0.3870


21.
# MnGaBRuSe

An optimized crystal structure of MnGaBRuSe (GGA-PBE, the Alexandria database).

Computed properties:
ΔE_f (raw): 0.07 eV per atom
energy above the most stable polymorph in this dataset: 139.0 kJ/mol of formula units

Cell lengths 4.303, 3.546, 8.886 Å; angles 90.00, 90.00, 90.00 degrees
Space group Amm2 (No. 38)
Unique sites:
1 Mn 0.000 0.000 0.000
2 Ga 0.000 0.000 0.276
3 B 0.000 0.000 0.608
4 Ru 0.500 0.000 0.582
5 Se 0.500 0.000 0.884


22.
# CdPd3Pb

An optimized crystal structure of CdPd3Pb (GGA-PBE, the Alexandria database).

Computed properties:
energy above the most stable polymorph in this dataset: 0.0 kJ/mol of formula units
calculated formation energy: -0.24 eV per atom

Cell lengths 5.033, 5.357, 7.226 Å; angles 90.00, 102.31, 90.00 degrees
Space group P2_1/m (No. 11)
Unique sites:
1 Cd 0.035 0.250 0.133
2 Pd 0.226 0.750 0.247
3 Pd 0.426 0.750 0.650
4 Pd 0.500 0.000 0.000
5 Pb 0.224 0.250 0.609


23.
# Zr2AlPb

An optimized crystal structure of Zr2AlPb (GGA-PBE, the Alexandria database).

Computed properties:
calculated formation energy: -0.13 eV per atom

Cell lengths 10.113, 3.235, 5.579 Å; angles 90.00, 100.29, 90.00 degrees
Space group C2/m (No. 12)
Unique sites:
1 Zr 0.248 0.000 0.235
2 Al 0.000 0.500 0.000
3 Pb 0.000 0.000 0.500


24.
# FeRu3Rh

An optimized crystal structure of FeRu3Rh (GGA-PBE, the Alexandria database).

Computed properties:
energy above the most stable polymorph in this dataset: 0.0 kJ/mol of formula units
calculated formation energy: 1.42 eV per atom

Cell lengths 4.335, 4.335, 4.335 Å; angles 90.00, 90.00, 90.00 degrees
Space group Pm-3m (No. 221)
Unique sites:
1 Fe 0.000 0.000 0.000
2 Ru 0.000 0.000 0.500
3 Rh 0.500 0.500 0.500


| no. | spin magnetization (μB per formula unit) |
| --- | --- |
| 1 | 0.00 |
| 2 | 0.00 |
| 3 | 0.00 |
| 4 | 0.00 |
| 5 | 0.00 |
| 6 | 4.55 |
| 7 | 4.82 |
| 8 | 0.00 |
| 9 | 0.00 |
| 10 | 0.73 |
| 11 | 0.00 |
| 12 | 0.00 |
| 13 | 0.00 |
| 14 | 0.00 |
| 15 | 0.00 |
| 16 | 1.06 |
| 17 | 0.00 |
| 18 | 0.00 |
| 19 | 0.00 |
| 20 | 0.00 |
| 21 | 0.00 |
| 22 | 0.00 |
| 23 | 0.00 |
| 24 | 0.00 |